First-principles (GGA-PBE) data for BeSiNi6 after structural relaxation, as listed in the Alexandria database.

```
BeSiNi6
1.0
4.0370 0.5111 0.0715
0.8129 3.9872 0.0715
1.4984 1.3898 6.0104
Be Si Ni
1 1 6
direct
0.5000 0.5000 0.5000 Be
0.0000 0.0000 0.0000 Si
0.0601 0.5423 0.3065 Ni
0.5423 0.0601 0.3065 Ni
0.4577 0.9399 0.6935 Ni
0.9399 0.4577 0.6935 Ni
0.3594 0.3594 0.9262 Ni
0.6406 0.6406 0.0738 Ni
```

Total DFT energy (no corrections), eV/atom: -5.5081
Formation energy (no corrections), eV/atom: -0.028
Excess energy over the best structure of this formula in the dataset, eV per atom: 0.278
Size of the total moment, Bohr magnetons per cell: 0.00

First-principles (GGA-PBE) data for Pr3Y3PuTe8 after structural relaxation, as listed in the Alexandria database.

```
Pr3Y3PuTe8
1.0
-5.1215 -4.8367 5.3488
4.0883 -3.8181 -6.8512
4.7422 2.7357 7.0145
Pr Y Pu Te
3 3 1 8
direct
0.0000 0.0000 0.0000 Pr
0.0000 0.5000 0.0000 Pr
0.5000 0.5000 0.0000 Pr
0.5000 0.0000 0.5000 Y
0.5000 0.5000 0.5000 Y
0.0000 0.5000 0.5000 Y
0.0000 0.0000 0.5000 Pu
0.2543 0.5086 0.2629 Te
0.7457 0.4914 0.7371 Te
0.7452 0.4905 0.2540 Te
0.2548 0.5095 0.7460 Te
0.7453 0.0088 0.2540 Te
0.2547 0.9912 0.7460 Te
0.2635 0.0087 0.2540 Te
0.7365 0.9913 0.7460 Te
```

Total DFT energy (no corrections), eV/atom: -6.2584
Formation energy (no corrections), eV/atom: -1.379
Size of the total moment, Bohr magnetons per cell: 6.23

First-principles (GGA-PBE) data for NaPm2NdTl4 after structural relaxation, as listed in the Alexandria database.

```
NaPm2NdTl4
1.0
-5.1922 -1.5260 0.2415
-1.3037 -5.2428 -0.3994
-1.4955 -3.1092 8.9573
Na Pm Nd Tl
1 2 1 4
direct
0.5000 0.5000 0.5000 Na
0.7555 0.7555 0.7334 Pm
0.2445 0.2445 0.2666 Pm
0.0000 0.0000 0.0000 Nd
0.3753 0.3753 0.8740 Tl
0.8748 0.8748 0.3755 Tl
0.1252 0.1252 0.6245 Tl
0.6247 0.6247 0.1260 Tl
```

Total DFT energy (no corrections), eV/atom: -3.4566
E_form, eV/atom: -0.32
Size of the total moment, Bohr magnetons per cell: 0.00

First-principles (GGA-PBE) data for Tl2HCl after structural relaxation, as listed in the Alexandria database.

```
Tl2HCl
1.0
7.5965 0.0000 0.0000
0.0000 7.5965 0.0000
3.7983 3.7983 3.4945
H Tl Cl
2 4 2
direct
0.5000 0.5000 0.0000 H
0.2500 0.7500 0.5000 H
0.5417 0.1250 0.2500 Tl
0.2083 0.6250 0.2500 Tl
0.3750 0.4583 0.7500 Tl
0.8750 0.7917 0.7500 Tl
0.0000 0.0000 0.0000 Cl
0.7500 0.2500 0.5000 Cl
```

Total DFT energy (no corrections), eV/atom: -2.7396
Excess energy over the best structure of this formula in the dataset, eV per atom: 0.000
Size of the total moment, Bohr magnetons per cell: 0.00

First-principles (GGA-PBE) data for Li2TaW after structural relaxation, as listed in the Alexandria database.

```
Li2TaW
1.0
5.2575 -0.0008 -0.0121
2.3972 4.6792 0.0121
-3.0925 -3.5416 2.3527
Li Ta W
2 1 1
direct
0.9715 0.9715 0.0000 Li
0.7792 0.2792 0.5000 Li
0.5187 0.5187 0.0000 Ta
0.2306 0.7306 0.5000 W
```

Total DFT energy (no corrections), eV/atom: -6.6113
E_form, eV/atom: 0.55
Excess energy over the best structure of this formula in the dataset, eV per atom: 0.311
Size of the total moment, Bohr magnetons per cell: 0.00

First-principles (GGA-PBE) data for Rb2Na2Pd after structural relaxation, as listed in the Alexandria database.

```
Rb2Na2Pd
1.0
8.4976 0.0000 0.0000
0.0000 8.4976 0.0000
0.0000 0.0000 6.7550
Na Rb Pd
4 4 2
direct
0.1613 0.6613 0.5000 Na
0.6613 0.8387 0.5000 Na
0.8387 0.3387 0.5000 Na
0.3387 0.1613 0.5000 Na
0.3358 0.8358 0.0000 Rb
0.8358 0.6642 0.0000 Rb
0.6642 0.1642 0.0000 Rb
0.1642 0.3358 0.0000 Rb
0.0000 0.0000 0.0000 Pd
0.5000 0.5000 0.0000 Pd
```

Total DFT energy (no corrections), eV/atom: -1.6620
E_form, eV/atom: 0.29
Excess energy over the best structure of this formula in the dataset, eV per atom: 0.163
Size of the total moment, Bohr magnetons per cell: 0.00

First-principles (GGA-PBE) data for YAuSe2 after structural relaxation, as listed in the Alexandria database.

```
YAuSe2
1.0
6.3296 0.0225 0.0000
3.8268 5.0418 0.0000
-5.0782 -2.5322 2.8044
Au Se Y
1 2 1
direct
0.2500 0.7500 0.5000 Au
0.0000 0.0000 0.0000 Se
0.7500 0.2500 0.5000 Se
0.5000 0.5000 0.0000 Y
```

Total DFT energy (no corrections), eV/atom: -5.0637
Formation energy (no corrections), eV/atom: -0.886
Size of the total moment, Bohr magnetons per cell: 0.00

First-principles (GGA-PBE) data for Tl2AgI6 after structural relaxation, as listed in the Alexandria database.

```
Tl2AgI6
1.0
8.3600 -0.1445 -2.1962
-3.0687 10.0074 -0.4310
-0.3738 1.0525 10.4165
Tl Ag I
4 2 12
direct
0.9670 0.3765 0.1808 Tl
0.5330 0.8192 0.6235 Tl
0.0330 0.6235 0.8192 Tl
0.4670 0.1808 0.3765 Tl
0.2500 0.8308 0.1692 Ag
0.7500 0.1692 0.8308 Ag
0.2914 0.3298 0.4906 I
0.2086 0.5094 0.6702 I
0.7086 0.6702 0.5094 I
0.7914 0.4906 0.3298 I
0.7769 0.1164 0.5800 I
0.7231 0.4200 0.8836 I
0.2231 0.8836 0.4200 I
0.2769 0.5800 0.1164 I
0.0055 0.1336 0.0731 I
0.4945 0.9269 0.8664 I
0.9945 0.8664 0.9269 I
0.5055 0.0731 0.1336 I
```

Total DFT energy (no corrections), eV/atom: -2.1406
Formation energy (no corrections), eV/atom: -0.265
Size of the total moment, Bohr magnetons per cell: 0.00

First-principles (GGA-PBE) data for YScBe2 after structural relaxation, as listed in the Alexandria database.

```
YScBe2
1.0
-0.0348 -4.5696 -0.8460
0.2060 -3.0180 3.5280
-3.7315 -2.5396 1.1062
Y Sc Be
1 1 2
direct
0.7500 0.7500 0.7500 Y
0.5000 0.5000 0.5000 Sc
0.0000 0.0000 0.0000 Be
0.2500 0.2500 0.2500 Be
```

Total DFT energy (no corrections), eV/atom: -4.5300
E_form, eV/atom: 0.53
Excess energy over the best structure of this formula in the dataset, eV per atom: 0.507
Size of the total moment, Bohr magnetons per cell: 1.23

First-principles (GGA-PBE) data for PrMg2AlPt4 after structural relaxation, as listed in the Alexandria database.

```
PrMg2AlPt4
1.0
-2.3847 2.5370 -2.7548
-4.1935 1.0463 1.0159
0.5590 8.2381 3.5249
Pr Mg Al Pt
1 2 1 4
direct
0.0000 0.0000 0.0000 Pr
0.7594 0.7594 0.7218 Mg
0.2406 0.2406 0.2782 Mg
0.5000 0.5000 0.5000 Al
0.4022 0.4022 0.7935 Pt
0.8652 0.8652 0.4044 Pt
0.1348 0.1348 0.5956 Pt
0.5978 0.5978 0.2065 Pt
```

Total DFT energy (no corrections), eV/atom: -5.4206
E_form, eV/atom: -0.94
Size of the total moment, Bohr magnetons per cell: 0.00

First-principles (GGA-PBE) data for MgCu2P after structural relaxation, as listed in the Alexandria database.

```
MgCu2P
1.0
-2.9120 -1.4399 -2.2594
-2.7236 -2.4027 1.5705
-4.4062 2.2246 0.7759
Cu Mg P
2 1 1
direct
0.9439 0.9439 0.1686 Cu
0.7269 0.7269 0.8189 Cu
0.5114 0.5114 0.4654 Mg
0.3177 0.3177 0.0471 P
```

Total DFT energy (no corrections), eV/atom: -3.9507
E_form, eV/atom: -0.15
Size of the total moment, Bohr magnetons per cell: 0.00

First-principles (GGA-PBE) data for Mg2ZnInAu4 after structural relaxation, as listed in the Alexandria database.

```
Mg2ZnInAu4
1.0
4.6620 0.0000 0.0000
2.3310 4.0374 0.0000
2.3310 1.3458 7.7325
Mg Zn In Au
2 1 1 4
direct
0.7505 0.7505 0.7486 Mg
0.2495 0.2495 0.2514 Mg
0.5000 0.5000 0.5000 Zn
0.0000 0.0000 0.0000 In
0.3813 0.3813 0.8562 Au
0.8698 0.8698 0.3905 Au
0.1302 0.1302 0.6095 Au
0.6187 0.6187 0.1438 Au
```

Total DFT energy (no corrections), eV/atom: -2.9394
E_form, eV/atom: -0.40
Size of the total moment, Bohr magnetons per cell: 0.00